(1)
A plane-wave DFT calculation with GGA+U was carried out for a relaxed Cs2LaNi3F12 crystal.

Structure (POSCAR):
```
Cs2LaNi3F12
1.0
7.521 0.041 0.029
3.750 6.520 0.029
3.750 2.183 6.143
F Ni La Cs
12 3 1 2
Cartesian
8.340 4.855 0.595 F
6.681 6.577 1.817 F
8.340 2.166 4.385 F
9.019 2.561 1.817 F
3.496 2.035 3.804 F
6.681 3.889 5.607 F
11.525 4.481 5.539 F
9.588 7.809 5.539 F
6.002 6.182 4.385 F
3.496 4.262 0.663 F
11.525 6.709 2.398 F
5.433 0.935 0.663 F
1.875 3.260 0.015 Ni
3.761 0.021 0.015 Ni
1.875 1.091 3.072 Ni
0.000 0.000 0.000 La
5.845 3.402 2.413 Cs
9.176 5.341 3.789 Cs
```

Results
The value obtained for the total energy is -4.72 eV/atom.


(2)
A plane-wave DFT calculation with GGA+U was carried out for a relaxed Cs2LaNiF6 crystal.

Structure (POSCAR):
```
Cs2LaNiF6
1.0
6.235 0.000 0.000
0.000 6.235 0.000
3.117 3.117 5.435
F Cs Ni La
6 2 1 1
Cartesian
1.645 4.589 0.000 F
4.589 1.645 0.000 F
4.589 4.589 0.000 F
6.235 6.235 2.309 F
1.645 1.645 0.000 F
3.117 3.117 3.126 F
6.235 3.117 2.718 Cs
3.117 6.235 2.718 Cs
3.117 3.117 0.000 Ni
0.000 0.000 0.000 La
```

Results
The value obtained for the total energy is -4.99 eV/atom.


What are the volume values for these records? In order: 299.4, 211.3 Å³/cell.